Compound: Pa5Tl
Source: Alexandria
Functional: PBE
Structure: relaxed

Lattice parameters (Å, degrees): 5.657 5.657 6.707 105.98 105.98 47.30
Positions (direct):
Pa  0.000  0.000  0.000
Pa  0.332  0.332  0.172
Pa  0.335  0.335  0.666
Pa  0.665  0.665  0.334
Pa  0.668  0.668  0.828
Tl  0.000  0.000  0.500

For the total energy, the calculation gives -8.212 eV/atom. The energy relative to the elements is 96 meV per atom. Its magnetic moment is 0.0 μB/cell.